A:
Below is a geometry-optimized Re2SeCl structure, with properties calculated at the PBE level.

a = 8.229 Å, b = 8.229 Å, c = 8.229 Å
α = 20.91°, β = 20.91°, γ = 20.91°
Fractional positions:
Re: 0.505 0.505 0.505
Cl: 0.750 0.750 0.750
Se: 0.250 0.250 0.250
Re: 0.995 0.995 0.995

=====

B:
Below is a geometry-optimized Re2SeCl structure, with properties calculated at the PBE level.

a = 3.106 Å, b = 3.106 Å, c = 6.372 Å
α = 90.00°, β = 90.00°, γ = 90.00°
Fractional positions:
Re: 0.000 0.000 0.474
Re: 0.000 0.000 0.026
Cl: 0.500 0.500 0.750
Se: 0.500 0.500 0.250

=====

Stability check: which of them is least stable? B.

=====

A:
Below is a geometry-optimized BC2 structure, with properties calculated at the PBE level.

a = 6.007 Å, b = 6.048 Å, c = 3.669 Å
α = 89.47°, β = 90.49°, γ = 144.69°
Fractional positions:
B: 0.218 0.859 0.539
C: 0.679 0.825 0.749
C: 0.495 0.009 0.235
B: 0.794 0.645 0.217
B: 0.329 0.671 0.999
C: 0.495 0.494 0.513
C: 0.663 0.325 0.994
C: 0.981 0.492 0.754
B: 0.822 0.166 0.504
C: 0.180 0.326 0.248
C: 0.333 0.174 0.753
C: 0.012 0.013 0.994

=====

B:
Below is a geometry-optimized BC2 structure, with properties calculated at the PBE level.

a = 2.595 Å, b = 3.759 Å, c = 7.979 Å
α = 90.00°, β = 90.00°, γ = 90.00°
Fractional positions:
B: 0.500 0.778 0.344
C: 0.500 0.521 0.508
C: 0.000 0.229 0.826
C: 0.000 0.021 0.326
B: 0.000 0.278 0.490
B: 0.000 0.972 0.990
B: 0.500 0.472 0.844
C: 0.000 0.974 0.682
C: 0.500 0.474 0.151
C: 0.500 0.776 0.651
C: 0.500 0.729 0.008
C: 0.000 0.276 0.182

=====

Stability check: which of them is least stable? A.

=====

A:
Below is a geometry-optimized Sr2CaFe structure, with properties calculated at the PBE level.

a = 7.285 Å, b = 7.285 Å, c = 5.933 Å
α = 65.92°, β = 65.92°, γ = 31.50°
Fractional positions:
Sr: 0.062 0.062 0.938
Sr: 0.438 0.438 0.562
Fe: 0.750 0.750 0.750
Ca: 0.250 0.250 0.250

=====

B:
Below is a geometry-optimized Sr2CaFe structure, with properties calculated at the PBE level.

a = 3.877 Å, b = 3.877 Å, c = 9.763 Å
α = 90.00°, β = 90.00°, γ = 89.94°
Fractional positions:
Sr: 0.000 0.000 0.563
Sr: 0.000 0.000 0.937
Fe: 0.500 0.500 0.750
Ca: 0.500 0.500 0.250

=====

Stability check: which of them is least stable? A.

=====

A:
Below is a geometry-optimized YCr2Ir structure, with properties calculated at the PBE level.

a = 4.069 Å, b = 4.063 Å, c = 4.314 Å
α = 90.00°, β = 90.00°, γ = 90.00°
Fractional positions:
Ir: 0.500 0.000 0.500
Cr: 0.000 0.000 0.000
Cr: 0.500 0.500 0.000
Y: 0.000 0.500 0.500

=====

B:
Below is a geometry-optimized YCr2Ir structure, with properties calculated at the PBE level.

a = 9.412 Å, b = 9.412 Å, c = 9.412 Å
α = 17.23°, β = 17.23°, γ = 17.23°
Fractional positions:
Y: 0.750 0.750 0.750
Ir: 0.250 0.250 0.250
Cr: 0.510 0.510 0.510
Cr: 0.990 0.990 0.990

=====

Stability check: which of them is least stable? B.

=====

A:
Below is a geometry-optimized LiP2Br structure, with properties calculated at the PBE level.

a = 7.653 Å, b = 7.653 Å, c = 3.890 Å
α = 90.22°, β = 90.22°, γ = 25.39°
Fractional positions:
Li: 0.250 0.250 0.250
Br: 0.750 0.750 0.750
P: 0.001 0.001 0.081
P: 0.499 0.499 0.419

=====

B:
Below is a geometry-optimized LiP2Br structure, with properties calculated at the PBE level.

a = 8.341 Å, b = 8.341 Å, c = 8.341 Å
α = 21.97°, β = 21.97°, γ = 21.97°
Fractional positions:
Li: 0.250 0.250 0.250
P: 0.995 0.995 0.995
Br: 0.750 0.750 0.750
P: 0.505 0.505 0.505

=====

Stability check: which of them is least stable? B.